Density functional theory data (PBE) for a relaxed Ac2Pr3Sm8 crystal.

Structure (POSCAR):
```
Ac2Pr3Sm8
1.0
6.752 -6.007 0.000
6.752 6.007 0.000
-2.485 0.000 5.840
Ac Pr Sm
2 3 8
direct
0.203 0.203 0.357 Ac
0.797 0.797 0.643 Ac
0.258 0.742 0.000 Pr
0.500 0.500 0.500 Pr
0.742 0.258 0.000 Pr
0.068 0.068 0.777 Sm
0.072 0.583 0.317 Sm
0.345 0.345 0.962 Sm
0.417 0.928 0.683 Sm
0.583 0.072 0.317 Sm
0.655 0.655 0.038 Sm
0.928 0.417 0.683 Sm
0.932 0.932 0.223 Sm
```

Summary:
Space-group type = C2/m
Density of states at the Fermi level = 1.53 states/eV/atom
Total DFT energy (no corrections) = -4.468 eV per atom
Energy above the lowest structure with this stoichiometry = 0.0000 eV per atom
Calculated volume = 36.434 A^3/atom
Calculated formation energy = 214 kJ/mol of formula units